Here is a geometry-optimized CePm2DyP4 structure from Alexandria via LeMat-Bulk. Energies are from PBE-GGA.

abc: 7.067 4.088 7.081
angles: 90.00 109.39 90.00
Sites, in units of the cell vectors:
Ce1 0.000 0.000 0.000
Pm1 0.000 0.500 0.500
Pm2 0.500 0.000 0.500
Dy1 0.500 0.500 0.000
P1 0.249 0.500 0.243
P2 0.252 0.000 0.758
P3 0.748 0.000 0.242
P4 0.751 0.500 0.757

Output
energy	-0.498	Ry/atom
ΔH_f (0 K)	-1.566	eV/atom
total magnetic moment	0.38	μB/cell
V	192.9	Å³/cell
crystal system	monoclinic